This record from Alexandria describes SmTl2Co3F12 after structural relaxation. The functional is GGA+U.

Computed properties:
Space-group type: R-3m (166)
Calculated total energy in eV/f.u.: -91.011
Volume in Å³/f.u.: 275.37
Magnetic moment in μB/atom: 0.5556

Cell and atoms, written as POSCAR:
```
SmTl2Co3F12
1.0
6.997 -0.346 -0.246
3.155 6.256 -0.246
3.155 1.836 5.985
Sm Tl Co F
1 2 3 12
Direct
0.000 0.000 0.000 Sm
0.614 0.614 0.614 Tl
0.386 0.386 0.386 Tl
0.500 0.000 0.000 Co
0.000 0.500 0.000 Co
0.000 0.000 0.500 Co
0.264 0.264 0.904 F
0.872 0.872 0.392 F
0.392 0.872 0.872 F
0.904 0.264 0.264 F
0.872 0.392 0.872 F
0.264 0.904 0.264 F
0.736 0.736 0.096 F
0.128 0.128 0.608 F
0.608 0.128 0.128 F
0.096 0.736 0.736 F
0.128 0.608 0.128 F
0.736 0.096 0.736 F
```